Record 1
TiSnF2 (PBE, optimized geometry); energy above the lowest structure with this stoichiometry = 0.82 eV/f.u.; final energy = -5.54 eV/atom; spin magnetization = 0.0 μB/cell; formation energy (no corrections) = -157.6 kJ per mole of atoms
1.0
-2.235 2.235 6.670
2.235 -2.235 6.670
2.235 2.235 -6.670
Ti Sn F
2 2 4
Direct
0.000 0.000 0.000
0.750 0.250 0.500
0.250 0.750 0.500
0.500 0.500 0.000
0.375 0.204 0.329
0.796 0.125 0.171
0.875 0.046 0.671
0.954 0.625 0.829



Record 2
MnTlCoCu2 (PBE, optimized geometry); E_form = 3.8 eV/f.u.; final energy = -4.60 eV/atom; spin magnetization = 5.2 μB/cell
1.0
4.543 0.000 0.000
0.000 4.543 0.000
0.000 0.000 4.442
Mn Tl Co Cu
1 1 1 2
Direct
0.000 0.000 0.000
0.500 0.500 0.000
0.000 0.000 0.500
0.000 0.500 0.500
0.500 0.000 0.500



Record 3
K2Cd2In (PBE, optimized geometry); energy above the lowest structure with this stoichiometry = 0.27 eV/f.u.; E_form = -0.2 eV/f.u.; final energy = -1.40 eV/atom; spin magnetization = 0.0 μB/cell
1.0
7.797 0.000 0.000
0.000 7.797 0.000
0.000 0.000 5.857
K Cd In
4 4 2
Direct
0.179 0.321 0.000
0.321 0.821 0.000
0.679 0.179 0.000
0.821 0.679 0.000
0.135 0.635 0.500
0.365 0.135 0.500
0.635 0.865 0.500
0.865 0.365 0.500
0.000 0.000 0.500
0.500 0.500 0.500



Record 4
Sr2TcPbO5 (PBE, optimized geometry); final energy = -6.48 eV/atom; spin magnetization = 2.0 μB/cell; formation energy (no corrections) = -172.8 kJ per mole of atoms
1.0
7.024 0.000 0.000
0.000 7.024 0.000
0.000 0.000 5.927
Sr Tc Pb O
4 2 2 10
Direct
0.178 0.322 0.000
0.322 0.822 0.000
0.678 0.178 0.000
0.822 0.678 0.000
0.000 0.500 0.500
0.500 0.000 0.500
0.000 0.000 0.500
0.500 0.500 0.500
0.000 0.000 0.000
0.132 0.632 0.272
0.132 0.632 0.728
0.368 0.132 0.272
0.368 0.132 0.728
0.500 0.500 0.000
0.632 0.868 0.272
0.632 0.868 0.728
0.868 0.368 0.272
0.868 0.368 0.728



Record 5
LiTaBe2Al (PBE, optimized geometry); E_form = 8.0 eV/f.u.; final energy = -3.39 eV/atom; spin magnetization = 1.1 μB/cell
1.0
4.500 0.000 0.000
0.000 4.500 0.000
0.000 0.000 4.731
Li Ta Be Al
1 1 2 1
Direct
0.000 0.000 0.000
0.000 0.000 0.500
0.000 0.500 0.500
0.500 0.000 0.500
0.500 0.500 0.000



Record 6
LiIrRu (PBE, optimized geometry); energy above the lowest structure with this stoichiometry = 2.57 eV/f.u.; E_form = 2.5 eV/f.u.; final energy = -5.84 eV/atom; spin magnetization = 0.4 μB/cell
1.0
0.000 2.751 2.751
2.751 0.000 2.751
2.751 2.751 0.000
Li Ir Ru
1 1 1
Direct
0.000 0.000 0.000
0.750 0.750 0.750
0.250 0.250 0.250



Record 7
HoPaP2Ir5 (PBE, optimized geometry); E_form = -5.1 eV/f.u.; final energy = -8.25 eV/atom; spin magnetization = 0.5 μB/cell
1.0
4.032 0.000 0.000
0.000 4.032 0.000
0.000 0.000 10.903
Ho Pa P Ir
1 1 2 5
Direct
0.000 0.000 0.000
0.000 0.000 0.500
0.500 0.500 0.289
0.500 0.500 0.711
0.000 0.500 0.197
0.000 0.500 0.803
0.500 0.000 0.197
0.500 0.000 0.803
0.500 0.500 0.500



Record 8
Ce3In (PBE, optimized geometry); energy above the lowest structure with this stoichiometry = 0.14 eV/f.u.; E_form = -0.6 eV/f.u.; final energy = -5.29 eV/atom; spin magnetization = 0.7 μB/cell
1.0
3.313 0.000 0.000
0.000 5.523 0.000
0.000 0.000 5.824
Ce In
3 1
Direct
0.000 0.000 0.000
0.000 0.500 0.411
0.500 0.000 0.537
0.500 0.500 0.899



Record 9
Na3AuI4 (PBE, optimized geometry); energy above the lowest structure with this stoichiometry = 0.04 eV/f.u.; final energy = -2.56 eV/atom; spin magnetization = 0.0 μB/cell; formation energy (no corrections) = -84.5 kJ per mole of atoms
1.0
6.986 0.000 0.000
0.000 6.986 0.000
0.000 0.000 6.986
Na Au I
3 1 4
Direct
0.000 0.000 0.500
0.000 0.500 0.000
0.500 0.000 0.000
0.500 0.500 0.500
0.264 0.264 0.736
0.264 0.736 0.264
0.736 0.264 0.264
0.736 0.736 0.736



Record 10
MoS (PBE, optimized geometry); energy above the lowest structure with this stoichiometry = 0.15 eV/f.u.; final energy = -7.86 eV/atom; spin magnetization = 0.0 μB/cell; formation energy (no corrections) = -36.9 kJ per mole of atoms
1.0
4.124 -1.586 0.000
4.124 1.586 0.000
-1.107 0.000 4.708
Mo S
2 2
Direct
0.000 0.000 0.000
0.645 0.645 0.569
0.274 0.274 0.940
0.921 0.921 0.452



Record 11
Tb3PmDy2 (PBE, optimized geometry); energy above the lowest structure with this stoichiometry = 0.00 eV/f.u.; E_form = 0.1 eV/f.u.; final energy = -4.63 eV/atom; spin magnetization = 0.0 μB/cell
1.0
11.025 -1.821 0.000
11.025 1.821 0.000
-5.862 0.000 9.744
Tb Pm Dy
6 2 4
Direct
0.055 0.055 0.178
0.278 0.278 0.655
0.388 0.388 0.014
0.612 0.612 0.986
0.722 0.722 0.345
0.945 0.945 0.822
0.389 0.389 0.513
0.611 0.611 0.487
0.056 0.056 0.683
0.277 0.277 0.151
0.723 0.723 0.849
0.944 0.944 0.317



Record 12
Ca3ReTe (PBE, optimized geometry); energy above the lowest structure with this stoichiometry = 2.35 eV/f.u.; final energy = -3.57 eV/atom; spin magnetization = 3.5 μB/cell; formation energy (no corrections) = 72.1 kJ per mole of atoms
1.0
5.763 0.000 0.000
0.000 5.763 0.000
0.000 0.000 5.763
Ca Re Te
3 1 1
Direct
0.000 0.000 0.500
0.000 0.500 0.000
0.500 0.000 0.000
0.500 0.500 0.500
0.000 0.000 0.000